# 1
This record from Alexandria describes a geometry-optimized TlIn3Au structure. The functional is PBE.

POSCAR file:
```
TlIn3Au
1.0
-4.042 -1.337 3.330
2.606 -4.541 1.339
2.466 2.607 4.041
Tl Au In
1 1 3
Direct
0.500 0.500 0.500
0.000 0.000 0.000
0.000 0.500 0.000
0.000 0.000 0.500
0.500 0.000 0.000
```

Properties
Excess energy over the best structure of this formula in the dataset   0 meV per atom
SG   No. 221
Energy of formation   0.075 eV/atom
Fermi-level density of states   0.66 states/eV/atom

***

# 2
This record from Alexandria describes a geometry-optimized Tl2InAu2 structure. The functional is PBE.

POSCAR file:
```
Tl2InAu2
1.0
-0.549 -4.376 -0.960
4.203 -1.921 -4.253
5.469 -4.532 6.919
Tl In Au
4 2 4
Direct
0.665 0.367 0.303
0.909 0.275 0.906
0.335 0.633 0.697
0.091 0.725 0.094
0.660 0.038 0.641
0.340 0.962 0.359
0.058 0.303 0.581
0.643 0.819 0.895
0.942 0.697 0.419
0.357 0.181 0.105
```

Properties
Excess energy over the best structure of this formula in the dataset   6 meV per atom
SG   No. 12
Energy of formation   -0.072 eV/atom
Fermi-level density of states   0.42 states/eV/atom